1.
Compound: La5Sm5Y
Source: Alexandria via LeMat-Bulk
Functional: GGA-PBE
Structure: relaxed

The energy of formation from the pure elements comes out at 27 kJ/mol of atoms. The calculation puts the total magnetization at 0.0 μB per formula unit. For the excess energy over the best structure of this formula in the dataset, the calculation gives 145 meV per atom.

a = 6.256 Å, b = 6.256 Å, c = 11.440 Å
α = 90.00°, β = 90.00°, γ = 120.00°
Atoms (fractional coordinates):
La  0.343  0.172  0.500
La  0.000  0.000  0.266
La  0.828  0.657  0.500
La  0.828  0.172  0.500
La  0.000  0.000  0.734
Sm  0.667  0.333  0.164
Sm  0.667  0.333  0.836
Sm  0.333  0.667  0.317
Sm  0.333  0.667  0.683
Sm  0.000  0.000  0.000
Y  0.333  0.667  0.000

=====

2.
Compound: La15Sm4Y
Source: Alexandria via LeMat-Bulk
Functional: GGA-PBE
Structure: relaxed

The energy of formation from the pure elements comes out at 1 kJ/mol of atoms. The calculation puts the total magnetization at 0.0 μB per formula unit.

a = 5.231 Å, b = 5.231 Å, c = 26.211 Å
α = 90.00°, β = 90.00°, γ = 90.00°
Atoms (fractional coordinates):
La  0.500  0.500  0.000
La  0.500  0.500  0.200
La  0.500  0.500  0.400
La  0.500  0.500  0.600
La  0.500  0.500  0.800
La  0.500  0.000  0.100
La  0.500  0.000  0.300
La  0.500  0.000  0.500
La  0.500  0.000  0.700
La  0.500  0.000  0.900
La  0.000  0.500  0.100
La  0.000  0.500  0.300
La  0.000  0.500  0.500
La  0.000  0.500  0.700
La  0.000  0.500  0.900
Sm  0.000  0.000  0.200
Sm  0.000  0.000  0.400
Sm  0.000  0.000  0.600
Sm  0.000  0.000  0.800
Y  0.000  0.000  0.000

=====

3.
Compound: LaSm12Y5
Source: Alexandria via LeMat-Bulk
Functional: GGA-PBE
Structure: relaxed

The energy of formation from the pure elements comes out at 1 kJ/mol of atoms. The calculation puts the total magnetization at 0.0 μB per formula unit.

a = 6.283 Å, b = 6.283 Å, c = 17.751 Å
α = 86.63°, β = 86.63°, γ = 119.98°
Atoms (fractional coordinates):
La  0.000  0.000  0.000
Sm  0.112  0.112  0.666
Sm  0.888  0.888  0.334
Sm  0.278  0.278  0.168
Sm  0.722  0.722  0.832
Sm  0.609  0.943  0.167
Sm  0.057  0.391  0.833
Sm  0.943  0.609  0.167
Sm  0.391  0.057  0.833
Sm  0.555  0.221  0.334
Sm  0.221  0.555  0.334
Sm  0.779  0.445  0.666
Sm  0.445  0.779  0.666
Y  0.500  0.500  0.500
Y  0.834  0.166  0.500
Y  0.166  0.834  0.500
Y  0.333  0.667  0.000
Y  0.667  0.333  0.000

=====

4.
Compound: La2Sm5Y4
Source: Alexandria via LeMat-Bulk
Functional: GGA-PBE
Structure: relaxed

The energy of formation from the pure elements comes out at 18 kJ/mol of atoms. The calculation puts the total magnetization at 0.0 μB per formula unit. For the excess energy over the best structure of this formula in the dataset, the calculation gives 123 meV per atom.

a = 3.546 Å, b = 9.216 Å, c = 12.846 Å
α = 111.02°, β = 97.93°, γ = 90.00°
Atoms (fractional coordinates):
La  0.265  0.265  0.531
La  0.735  0.735  0.469
Sm  0.859  0.052  0.719
Sm  0.859  0.667  0.719
Sm  0.141  0.333  0.281
Sm  0.141  0.948  0.281
Sm  0.500  0.000  0.000
Y  0.000  0.314  0.000
Y  0.599  0.599  0.198
Y  0.000  0.686  0.000
Y  0.401  0.401  0.802

=====

5.
Compound: LaSm3Y
Source: Alexandria via LeMat-Bulk
Functional: GGA-PBE
Structure: relaxed

The energy of formation from the pure elements comes out at 2 kJ/mol of atoms. The calculation puts the total magnetization at 0.0 μB per formula unit. For the excess energy over the best structure of this formula in the dataset, the calculation gives 0 meV per atom.

a = 6.303 Å, b = 9.631 Å, c = 9.656 Å
α = 130.00°, β = 109.22°, γ = 102.44°
Atoms (fractional coordinates):
La  0.451  0.051  0.201
La  0.549  0.949  0.799
Sm  0.950  0.550  0.198
Sm  0.849  0.649  0.597
Sm  0.652  0.850  0.401
Sm  0.348  0.150  0.599
Sm  0.050  0.450  0.802
Sm  0.151  0.351  0.403
Y  0.253  0.254  0.001
Y  0.747  0.746  0.999

=====

6.
Compound: LaSmY
Source: Alexandria via LeMat-Bulk
Functional: GGA-PBE
Structure: relaxed

The energy of formation from the pure elements comes out at 2 kJ/mol of atoms. The calculation puts the total magnetization at 0.0 μB per formula unit. For the excess energy over the best structure of this formula in the dataset, the calculation gives 0 meV per atom.

a = 3.650 Å, b = 3.650 Å, c = 8.928 Å
α = 90.00°, β = 90.00°, γ = 120.00°
Atoms (fractional coordinates):
Y  0.667  0.333  0.330
Sm  0.000  0.000  0.005
La  0.333  0.667  0.665

=====

7.
Compound: LaSm4Y
Source: Alexandria via LeMat-Bulk
Functional: GGA-PBE
Structure: relaxed

The energy of formation from the pure elements comes out at 2 kJ/mol of atoms. The calculation puts the total magnetization at 0.0 μB per formula unit. For the excess energy over the best structure of this formula in the dataset, the calculation gives 1 meV per atom.

a = 3.647 Å, b = 12.080 Å, c = 10.268 Å
α = 115.26°, β = 90.00°, γ = 90.00°
Atoms (fractional coordinates):
La  0.000  0.000  0.500
La  0.500  0.500  0.000
Sm  0.500  0.168  0.332
Sm  0.000  0.332  0.168
Sm  0.500  0.832  0.668
Sm  0.000  0.668  0.832
Sm  0.000  0.666  0.335
Sm  0.500  0.834  0.165
Sm  0.000  0.334  0.665
Sm  0.500  0.166  0.835
Y  0.500  0.500  0.500
Y  0.000  0.000  0.000

=====

8.
Compound: La2Sm2Y7
Source: Alexandria via LeMat-Bulk
Functional: GGA-PBE
Structure: relaxed

The energy of formation from the pure elements comes out at 20 kJ/mol of atoms. The calculation puts the total magnetization at 0.0 μB per formula unit. For the excess energy over the best structure of this formula in the dataset, the calculation gives 84 meV per atom.

a = 7.163 Å, b = 7.517 Å, c = 7.517 Å
α = 96.29°, β = 76.21°, γ = 76.21°
Atoms (fractional coordinates):
La  0.500  0.162  0.838
La  0.500  0.838  0.162
Sm  0.919  0.369  0.369
Sm  0.081  0.631  0.631
Y  0.189  0.081  0.576
Y  0.811  0.424  0.919
Y  0.811  0.919  0.424
Y  0.189  0.576  0.081
Y  0.000  0.000  0.000
Y  0.510  0.684  0.684
Y  0.490  0.316  0.316

=====

9.
Compound: La6Sm8Y
Source: Alexandria via LeMat-Bulk
Functional: GGA-PBE
Structure: relaxed

The energy of formation from the pure elements comes out at 10 kJ/mol of atoms. The calculation puts the total magnetization at 0.0 μB per formula unit.

a = 9.302 Å, b = 9.302 Å, c = 8.897 Å
α = 58.48°, β = 58.48°, γ = 60.00°
Atoms (fractional coordinates):
La  0.465  0.905  0.867
La  0.095  0.237  0.133
La  0.237  0.535  0.133
La  0.763  0.465  0.867
La  0.905  0.763  0.867
La  0.535  0.095  0.133
Sm  0.242  0.290  0.582
Sm  0.710  0.114  0.418
Sm  0.114  0.758  0.418
Sm  0.577  0.577  0.268
Sm  0.423  0.423  0.732
Sm  0.886  0.242  0.582
Sm  0.290  0.886  0.582
Sm  0.758  0.710  0.418
Y  0.000  0.000  0.000

=====

10.
Compound: La11Sm4Y9
Source: Alexandria via LeMat-Bulk
Functional: GGA-PBE
Structure: relaxed

The energy of formation from the pure elements comes out at 6 kJ/mol of atoms. The calculation puts the total magnetization at 0.0 μB per formula unit.

a = 3.750 Å, b = 15.623 Å, c = 15.623 Å
α = 112.99°, β = 90.00°, γ = 90.00°
Atoms (fractional coordinates):
La  0.000  0.593  0.954
La  0.000  0.407  0.046
La  0.000  0.954  0.593
La  0.000  0.046  0.407
La  0.000  0.632  0.368
La  0.000  0.368  0.632
La  0.000  0.841  0.159
La  0.000  0.159  0.841
La  0.000  0.000  0.000
La  0.000  0.708  0.708
La  0.000  0.292  0.292
Sm  0.500  0.555  0.756
Sm  0.500  0.445  0.244
Sm  0.500  0.756  0.555
Sm  0.500  0.244  0.445
Y  0.500  0.633  0.165
Y  0.500  0.367  0.835
Y  0.500  0.165  0.633
Y  0.500  0.835  0.367
Y  0.500  0.787  0.933
Y  0.500  0.213  0.067
Y  0.500  0.933  0.787
Y  0.500  0.067  0.213
Y  0.500  0.500  0.500

=====

11.
Compound: La2Sm6Y
Source: Alexandria via LeMat-Bulk
Functional: GGA-PBE
Structure: relaxed

The energy of formation from the pure elements comes out at 9 kJ/mol of atoms. The calculation puts the total magnetization at 0.0 μB per formula unit. For the excess energy over the best structure of this formula in the dataset, the calculation gives 37 meV per atom.

a = 3.723 Å, b = 9.313 Å, c = 10.126 Å
α = 62.62°, β = 85.64°, γ = 80.47°
Atoms (fractional coordinates):
La  0.500  0.832  0.336
La  0.500  0.168  0.664
Sm  0.163  0.831  0.668
Sm  0.837  0.169  0.332
Sm  0.338  0.331  0.000
Sm  0.163  0.499  0.332
Sm  0.837  0.501  0.668
Sm  0.662  0.669  0.000
Y  0.000  0.000  0.000

=====

12.
Compound: La2Sm3Y2
Source: Alexandria via LeMat-Bulk
Functional: GGA-PBE
Structure: relaxed

The energy of formation from the pure elements comes out at 11 kJ/mol of atoms. The calculation puts the total magnetization at 0.0 μB per formula unit. For the excess energy over the best structure of this formula in the dataset, the calculation gives 101 meV per atom.

a = 3.564 Å, b = 8.700 Å, c = 9.137 Å
α = 118.38°, β = 101.25°, γ = 90.00°
Atoms (fractional coordinates):
La  0.566  0.913  0.132
La  0.434  0.087  0.868
Sm  0.000  0.500  0.000
Sm  0.212  0.797  0.425
Sm  0.788  0.203  0.575
Y  0.849  0.661  0.698
Y  0.151  0.339  0.302

=====

13.
Compound: La2Sm2Y
Source: Alexandria via LeMat-Bulk
Functional: GGA-PBE
Structure: relaxed

The energy of formation from the pure elements comes out at 10 kJ/mol of atoms. The calculation puts the total magnetization at 0.0 μB per formula unit. For the excess energy over the best structure of this formula in the dataset, the calculation gives 0 meV per atom.

a = 6.382 Å, b = 6.382 Å, c = 9.606 Å
α = 111.31°, β = 102.46°, γ = 97.37°
Atoms (fractional coordinates):
La  0.436  0.363  0.151
La  0.213  0.785  0.349
La  0.564  0.637  0.849
La  0.787  0.215  0.651
Sm  0.885  0.249  0.025
Sm  0.225  0.360  0.475
Sm  0.115  0.751  0.975
Sm  0.775  0.640  0.525
Y  0.712  0.962  0.250
Y  0.288  0.038  0.750

=====

14.
Compound: La8Sm4Y
Source: Alexandria via LeMat-Bulk
Functional: GGA-PBE
Structure: relaxed

The energy of formation from the pure elements comes out at 36 kJ/mol of atoms. The calculation puts the total magnetization at 0.0 μB per formula unit.

a = 11.899 Å, b = 11.899 Å, c = 7.951 Å
α = 90.00°, β = 138.44°, γ = 120.00°
Atoms (fractional coordinates):
La  0.527  0.763  0.290
La  0.473  0.237  0.710
La  0.343  0.172  0.016
La  0.156  0.328  0.984
La  0.657  0.828  0.984
La  0.156  0.828  0.984
La  0.844  0.172  0.016
La  0.844  0.672  0.016
Sm  0.000  0.000  0.000
Sm  0.000  0.500  0.000
Sm  0.500  0.500  0.000
Sm  0.500  0.000  0.000
Y  0.000  0.500  0.500

=====

15.
Compound: La2Sm6Y3
Source: Alexandria via LeMat-Bulk
Functional: GGA-PBE
Structure: relaxed

The energy of formation from the pure elements comes out at 2 kJ/mol of atoms. The calculation puts the total magnetization at 0.0 μB per formula unit. For the excess energy over the best structure of this formula in the dataset, the calculation gives 0 meV per atom.

a = 3.633 Å, b = 3.633 Å, c = 32.685 Å
α = 86.81°, β = 86.81°, γ = 60.00°
Atoms (fractional coordinates):
La  0.454  0.454  0.639
La  0.546  0.546  0.361
Sm  0.089  0.089  0.732
Sm  0.911  0.911  0.268
Sm  0.182  0.182  0.455
Sm  0.818  0.818  0.545
Sm  0.363  0.363  0.911
Sm  0.637  0.637  0.089
Y  0.000  0.000  0.000
Y  0.274  0.274  0.179
Y  0.726  0.726  0.821

=====

16.
Compound: La5Sm6Y
Source: Alexandria via LeMat-Bulk
Functional: GGA-PBE
Structure: relaxed

The energy of formation from the pure elements comes out at 1 kJ/mol of atoms. The calculation puts the total magnetization at 0.0 μB per formula unit.

a = 6.366 Å, b = 6.366 Å, c = 12.140 Å
α = 84.97°, β = 79.91°, γ = 60.00°
Atoms (fractional coordinates):
Y  0.000  0.000  0.000
Sm  0.585  0.333  0.249
Sm  0.083  0.333  0.751
Sm  0.750  0.000  0.751
Sm  0.250  0.000  0.249
Sm  0.917  0.667  0.249
Sm  0.415  0.667  0.751
La  0.166  0.667  0.500
La  0.333  0.333  0.000
La  0.500  0.000  0.500
La  0.667  0.667  0.000
La  0.834  0.333  0.500

=====

17.
Compound: LaSm2Y4
Source: Alexandria via LeMat-Bulk
Functional: GGA-PBE
Structure: relaxed

The energy of formation from the pure elements comes out at 6 kJ/mol of atoms. The calculation puts the total magnetization at 0.0 μB per formula unit. For the excess energy over the best structure of this formula in the dataset, the calculation gives 0 meV per atom.

a = 8.474 Å, b = 9.628 Å, c = 6.190 Å
α = 101.66°, β = 107.24°, γ = 88.28°
Atoms (fractional coordinates):
La  0.206  0.934  0.491
La  0.992  0.030  0.958
Sm  0.684  0.449  0.352
Sm  0.154  0.299  0.693
Sm  0.882  0.387  0.945
Sm  0.413  0.873  0.047
Y  0.622  0.802  0.593
Y  0.483  0.521  0.796
Y  0.359  0.228  0.287
Y  0.771  0.097  0.414
Y  0.042  0.656  0.695
Y  0.829  0.742  0.148
Y  0.259  0.577  0.235
Y  0.553  0.156  0.847

=====

18.
Compound: La8SmY2
Source: Alexandria via LeMat-Bulk
Functional: GGA-PBE
Structure: relaxed

The energy of formation from the pure elements comes out at 10 kJ/mol of atoms. The calculation puts the total magnetization at 0.0 μB per formula unit.

a = 5.835 Å, b = 8.261 Å, c = 9.691 Å
α = 115.22°, β = 107.52°, γ = 90.00°
Atoms (fractional coordinates):
La  0.634  0.834  0.268
La  0.366  0.566  0.733
La  0.165  0.165  0.329
La  0.000  0.291  0.000
La  0.835  0.835  0.671
La  0.634  0.434  0.267
La  0.366  0.166  0.732
La  0.000  0.709  0.000
Sm  0.500  0.000  0.000
Y  0.202  0.702  0.403
Y  0.798  0.298  0.597

=====

19.
Compound: La5SmY3
Source: Alexandria via LeMat-Bulk
Functional: GGA-PBE
Structure: relaxed

The energy of formation from the pure elements comes out at 23 kJ/mol of atoms. The calculation puts the total magnetization at 0.0 μB per formula unit. For the excess energy over the best structure of this formula in the dataset, the calculation gives 0 meV per atom.

a = 11.973 Å, b = 11.973 Å, c = 11.532 Å
α = 50.70°, β = 50.70°, γ = 31.85°
Atoms (fractional coordinates):
La  0.409  0.591  0.750
La  0.987  0.352  0.023
La  0.538  0.121  0.129
La  0.013  0.648  0.977
La  0.879  0.462  0.371
La  0.591  0.409  0.250
La  0.352  0.987  0.523
La  0.648  0.013  0.477
La  0.121  0.538  0.629
La  0.462  0.879  0.871
Sm  0.869  0.131  0.750
Sm  0.131  0.869  0.250
Y  0.000  0.000  0.000
Y  0.131  0.551  0.303
Y  0.000  0.000  0.500
Y  0.869  0.449  0.697
Y  0.551  0.131  0.803
Y  0.449  0.869  0.197

=====

20.
Compound: LaSm2Y4
Source: Alexandria via LeMat-Bulk
Functional: GGA-PBE
Structure: relaxed

The energy of formation from the pure elements comes out at 9 kJ/mol of atoms. The calculation puts the total magnetization at 0.0 μB per formula unit. For the excess energy over the best structure of this formula in the dataset, the calculation gives 30 meV per atom.

a = 3.583 Å, b = 3.583 Å, c = 21.386 Å
α = 85.19°, β = 85.19°, γ = 60.00°
Atoms (fractional coordinates):
La  0.000  0.000  0.000
Sm  0.234  0.234  0.298
Sm  0.766  0.766  0.702
Y  0.712  0.712  0.863
Y  0.288  0.288  0.137
Y  0.144  0.144  0.568
Y  0.856  0.856  0.432